Run a
GGA-PBE LaZr2Au2, optimized geometry; SG = No. 139; size of the total moment = 0.0 μB per formula unit
1.0
-2.6329 2.6329 4.6937
2.6329 -2.6329 4.6937
2.6329 2.6329 -4.6937
La Zr Au
1 2 2
Direct
0.0000 0.0000 0.0000
0.3472 0.3472 0.0000
0.6528 0.6528 0.0000
0.2500 0.7500 0.5000
0.7500 0.2500 0.5000


Run b
GGA-PBE LaZr2Au2, optimized geometry; SG = No. 139; size of the total moment = 0.0 μB per formula unit
1.0
-2.0856 2.0856 7.0285
2.0856 -2.0856 7.0285
2.0856 2.0856 -7.0285
La Zr Au
1 2 2
Direct
0.0000 0.0000 0.0000
0.2500 0.7500 0.5000
0.7500 0.2500 0.5000
0.3990 0.3990 0.0000
0.6010 0.6010 0.0000


Run c
GGA-PBE LaZr2Au2, optimized geometry; SG = No. 127; size of the total moment = 0.0 μB per formula unit
1.0
8.5199 0.0000 0.0000
0.0000 8.5199 0.0000
0.0000 0.0000 3.1186
La Zr Au
2 4 4
Direct
0.0000 0.0000 0.0000
0.5000 0.5000 0.0000
0.1332 0.3668 0.0000
0.3668 0.8668 0.0000
0.6332 0.1332 0.0000
0.8668 0.6332 0.0000
0.1649 0.6649 0.5000
0.3351 0.1649 0.5000
0.6649 0.8351 0.5000
0.8351 0.3351 0.5000


Which structure is the most stable? The one labeled run b.


Run a
GGA-PBE La3ZrAu, optimized geometry; SG = No. 221; size of the total moment = 0.0 μB per formula unit
1.0
5.6421 0.0000 0.0000
0.0000 5.6421 0.0000
0.0000 0.0000 5.6421
La Zr Au
3 1 1
Direct
0.0000 0.0000 0.5000
0.0000 0.5000 0.0000
0.5000 0.0000 0.0000
0.0000 0.0000 0.0000
0.5000 0.5000 0.5000


Run b
GGA-PBE La3ZrAu, optimized geometry; SG = No. 221; size of the total moment = 0.0 μB per formula unit
1.0
5.7505 0.0000 0.0000
0.0000 5.7505 0.0000
0.0000 0.0000 5.7505
La Zr Au
3 1 1
Direct
0.0000 0.0000 0.5000
0.0000 0.5000 0.0000
0.5000 0.0000 0.0000
0.5000 0.5000 0.5000
0.0000 0.0000 0.0000


Which structure is the most stable? The one labeled run b.


Run a
GGA-PBE Li4Au, optimized geometry; SG = No. 221; size of the total moment = 0.0 μB per formula unit
1.0
4.9188 0.0000 0.0000
0.0000 4.9188 0.0000
0.0000 0.0000 4.9188
Li Au
4 1
Direct
0.0000 0.0000 0.0000
0.0000 0.5000 0.5000
0.5000 0.0000 0.5000
0.5000 0.5000 0.0000
0.5000 0.5000 0.5000


Run b
GGA-PBE Li4Au, optimized geometry; SG = No. 14; size of the total moment = 0.0 μB per formula unit
1.0
4.6318 0.0000 0.0000
0.0000 5.9284 0.0000
-4.6123 0.0000 5.8378
Li Au
8 2
Direct
0.0924 0.2142 0.0918
0.0924 0.2858 0.5918
0.2860 0.5920 0.2866
0.2860 0.9080 0.7866
0.7140 0.0920 0.2134
0.7140 0.4080 0.7134
0.9076 0.7141 0.4082
0.9076 0.7859 0.9082
0.5000 0.0000 0.5000
0.5000 0.5000 0.0000


Run c
GGA-PBE Li4Au, optimized geometry; SG = No. 139; size of the total moment = 0.0 μB per formula unit
1.0
-1.7536 1.7536 7.4806
1.7536 -1.7536 7.4806
1.7536 1.7536 -7.4806
Li Au
4 1
Direct
0.0870 0.0870 0.0000
0.2500 0.7500 0.5000
0.7500 0.2500 0.5000
0.9130 0.9130 0.0000
0.5000 0.5000 0.0000


Run d
GGA-PBE Li4Au, optimized geometry; SG = No. 12; size of the total moment = 0.0 μB per formula unit
1.0
3.8734 -2.2743 0.0000
3.8734 2.2743 0.0000
-2.3043 0.0000 4.5985
Li Au
4 1
Direct
0.1085 0.1085 0.3258
0.3034 0.3034 0.9050
0.6966 0.6966 0.0950
0.8915 0.8915 0.6742
0.5000 0.5000 0.5000


Which structure is the most stable? The one labeled run d.